[1]
First-principles (PBE-GGA) data for a relaxed structure of Tl4CuBr, as listed in Alexandria.

```
Tl4CuBr
1.0
0.0000 4.5905 4.5905
4.5905 0.0000 4.5905
4.5905 4.5905 0.0000
Tl Cu Br
4 1 1
direct
0.8759 0.3747 0.3747 Tl
0.3747 0.3747 0.8759 Tl
0.3747 0.8759 0.3747 Tl
0.3747 0.3747 0.3747 Tl
0.0000 0.0000 0.0000 Cu
0.7500 0.7500 0.7500 Br
```

## Properties
**E_form (uncorrected)**: 240 meV/atom
**Crystal system**: cubic

[2]
First-principles (PBE-GGA) data for a relaxed structure of RbTe2I2, as listed in Alexandria.

```
RbTe2I2
1.0
-2.6811 -5.8318 1.6995
-0.2191 -1.7636 -6.3975
3.4789 -5.9408 -1.9270
I Te Rb
2 2 1
direct
0.7500 0.2500 0.5000 I
0.2500 0.7500 0.5000 I
0.3810 0.3810 0.2379 Te
0.6190 0.6190 0.7621 Te
0.0000 0.0000 0.0000 Rb
```

## Properties
**E_form (uncorrected)**: -349 meV/atom
**Crystal system**: tetragonal
**E above lowest polymorph**: 25 meV per atom

[3]
First-principles (PBE-GGA) data for a relaxed structure of AlReAs2, as listed in Alexandria.

```
AlReAs2
1.0
4.5589 0.0028 0.0093
3.4440 2.9870 0.0093
0.4854 0.1814 4.7800
Re As Al
1 2 1
direct
0.2500 0.2500 0.2500 Re
0.9765 0.9765 0.0193 As
0.5235 0.5235 0.4807 As
0.7500 0.7500 0.7500 Al
```

## Properties
**Formation enthalpy at 0 K**: 0.18 eV per atom
**Crystal system**: monoclinic
**E above lowest polymorph**: 144 meV per atom

[4]
First-principles (PBE-GGA) data for a relaxed structure of Sm2Cd3Hg, as listed in Alexandria.

```
Sm2Cd3Hg
1.0
-0.6142 4.5687 -3.9912
5.4103 -2.7423 -0.6232
-5.8670 -6.4406 -3.4861
Sm Cd Hg
4 6 2
direct
0.2500 0.7500 0.5000 Sm
0.7471 0.7471 0.0000 Sm
0.7500 0.2500 0.5000 Sm
0.2529 0.2529 0.0000 Sm
0.6685 0.1655 0.8340 Cd
0.8345 0.3315 0.1660 Cd
0.3315 0.8345 0.1660 Cd
0.1655 0.6685 0.8340 Cd
0.8342 0.8342 0.6683 Cd
0.1658 0.1658 0.3317 Cd
0.3332 0.3332 0.6663 Hg
0.6668 0.6668 0.3337 Hg
```

## Properties
**Formation enthalpy at 0 K**: -0.37 eV per atom
**Crystal system**: orthorhombic

[5]
First-principles (PBE-GGA) data for a relaxed structure of Ac12LaRu7, as listed in Alexandria.

```
Ac12LaRu7
1.0
-8.2750 2.6407 -3.5362
3.6868 -6.2572 -5.9335
-1.7251 -4.4885 8.0517
Ac La Ru
12 1 7
direct
0.9263 0.3142 0.7791 Ac
0.6858 0.2209 0.0737 Ac
0.4521 0.1562 0.3770 Ac
0.8438 0.6230 0.5479 Ac
0.2209 0.0737 0.6858 Ac
0.6230 0.5479 0.8438 Ac
0.3770 0.4521 0.1562 Ac
0.7791 0.9263 0.3142 Ac
0.1562 0.3770 0.4521 Ac
0.5479 0.8438 0.6230 Ac
0.3142 0.7791 0.9263 Ac
0.0737 0.6858 0.2209 Ac
0.0000 0.0000 0.0000 La
0.9814 0.6450 0.8722 Ru
0.3550 0.1278 0.0186 Ru
0.1278 0.0186 0.3550 Ru
0.5000 0.5000 0.5000 Ru
0.8722 0.9814 0.6450 Ru
0.6450 0.8722 0.9814 Ru
0.0186 0.3550 0.1278 Ru
```

## Properties
**Formation enthalpy at 0 K**: -0.16 eV per atom
**Crystal system**: trigonal

[6]
First-principles (PBE-GGA) data for a relaxed structure of Li2CrSb, as listed in Alexandria.

```
Li2CrSb
1.0
4.6584 -0.0041 -0.0016
2.3417 4.0270 -0.0016
2.3258 1.3366 3.8014
Cr Li Sb
1 2 1
direct
0.2501 0.2501 0.2499 Cr
0.9998 0.9998 0.0004 Li
0.7501 0.7501 0.7498 Li
0.5001 0.5001 0.4999 Sb
```

## Properties
**E_form (uncorrected)**: -179 meV/atom
**Crystal system**: tetragonal

[7]
First-principles (PBE-GGA) data for a relaxed structure of Pm2DyEr3Bi6, as listed in Alexandria.

```
Pm2DyEr3Bi6
1.0
4.4974 0.0000 0.0000
0.0000 8.9831 0.3295
-2.2487 -2.5785 9.4482
Pm Dy Er Bi
2 1 3 6
direct
0.8339 0.6673 0.6679 Pm
0.1661 0.3327 0.3321 Pm
0.5000 0.0000 0.0000 Dy
0.5000 0.5000 0.0000 Er
0.8323 0.1664 0.6646 Er
0.1677 0.8336 0.3354 Er
0.3333 0.9231 0.6667 Bi
0.6648 0.5882 0.3296 Bi
0.6667 0.0769 0.3333 Bi
0.9973 0.2500 0.9947 Bi
0.0027 0.7500 0.0053 Bi
0.3352 0.4118 0.6704 Bi
```

## Properties
**Formation enthalpy at 0 K**: -0.86 eV per atom
**Crystal system**: monoclinic

[8]
First-principles (PBE-GGA) data for a relaxed structure of CuBr2Cl, as listed in Alexandria.

```
CuBr2Cl
1.0
5.0856 0.0000 0.0000
0.0000 5.0856 0.0000
0.0000 0.0000 3.3728
Cu Br Cl
1 2 1
direct
0.0000 0.5000 0.5000 Cu
0.0000 0.0000 0.0000 Br
0.5000 0.5000 0.0000 Br
0.5000 0.0000 0.5000 Cl
```

## Properties
**E_form (uncorrected)**: 544 meV/atom
**Crystal system**: tetragonal
**E above lowest polymorph**: 782 meV per atom

[9]
First-principles (PBE-GGA) data for a relaxed structure of MgTl3V, as listed in Alexandria.

```
MgTl3V
1.0
5.4102 0.0000 0.0000
0.0000 5.4102 0.0000
0.0000 0.0000 5.4102
Tl Mg V
3 1 1
direct
0.0000 0.5000 0.0000 Tl
0.0000 0.0000 0.5000 Tl
0.5000 0.0000 0.0000 Tl
0.0000 0.0000 0.0000 Mg
0.5000 0.5000 0.5000 V
```

## Properties
**Formation enthalpy at 0 K**: 0.88 eV per atom
**Crystal system**: cubic

[10]
First-principles (PBE-GGA) data for a relaxed structure of BaCdPd, as listed in Alexandria.

```
BaCdPd
1.0
-3.3557 -0.6208 3.0991
-0.4533 -4.5456 -1.4014
3.0366 1.1254 3.5134
Ba Pd Cd
1 1 1
direct
0.6668 0.3333 0.6667 Ba
0.1663 0.6667 0.3333 Pd
0.1669 0.0000 0.0000 Cd
```

## Properties
**Formation enthalpy at 0 K**: -0.49 eV per atom
**Crystal system**: hexagonal

[11]
First-principles (PBE-GGA) data for a relaxed structure of Mn2OsW, as listed in Alexandria.

```
Mn2OsW
1.0
4.6594 -0.0324 0.0000
1.5994 4.3764 0.0000
-3.1294 -2.1720 2.6833
Mn Os W
2 1 1
direct
0.0000 0.0000 0.0000 Mn
0.2500 0.7500 0.5000 Mn
0.5000 0.5000 0.0000 Os
0.7500 0.2500 0.5000 W
```

## Properties
**Formation enthalpy at 0 K**: 0.06 eV per atom
**Crystal system**: tetragonal

[12]
First-principles (PBE-GGA) data for a relaxed structure of NaSbPb, as listed in Alexandria.

```
NaSbPb
1.0
-1.7855 2.7733 -2.5374
2.1007 -1.5933 -3.2196
-4.0587 -3.9220 1.9820
Pb Sb Na
1 1 1
direct
0.6372 0.6372 0.2744 Pb
0.2657 0.2657 0.5314 Sb
0.9471 0.9471 0.8942 Na
```

## Properties
**E_form (uncorrected)**: -143 meV/atom
**Crystal system**: tetragonal

[13]
First-principles (PBE-GGA) data for a relaxed structure of CaDyTm2Hg4, as listed in Alexandria.

```
CaDyTm2Hg4
1.0
-0.1409 4.6690 -2.3632
1.2924 0.4147 -5.0558
-7.7753 0.3362 -4.6702
Ca Dy Tm Hg
1 1 2 4
direct
0.0000 0.0000 0.0000 Ca
0.5000 0.5000 0.5000 Dy
0.7489 0.7489 0.7533 Tm
0.2511 0.2511 0.2467 Tm
0.3761 0.3761 0.8716 Hg
0.8741 0.8741 0.3778 Hg
0.1259 0.1259 0.6222 Hg
0.6239 0.6239 0.1284 Hg
```

## Properties
**Formation enthalpy at 0 K**: -0.50 eV per atom
**Crystal system**: trigonal

[14]
First-principles (PBE-GGA) data for a relaxed structure of Ac2Pr2H, as listed in Alexandria.

```
Ac2Pr2H
1.0
5.4452 0.0000 0.0000
0.0000 5.4015 0.0000
0.0000 0.0000 5.4015
Ac Pr H
2 2 1
direct
0.5000 0.5000 0.5000 Ac
0.5000 0.0000 0.0000 Ac
0.0000 0.0000 0.5000 Pr
0.0000 0.5000 0.0000 Pr
0.0000 0.0000 0.0000 H
```

## Properties
**Crystal system**: tetragonal
**E**: -4.378 eV per atom

[15]
First-principles (PBE-GGA) data for a relaxed structure of Zr4TlRu, as listed in Alexandria.

```
Zr4TlRu
1.0
4.5366 -2.4231 2.3616
0.2067 -0.7601 5.6044
-0.3822 -5.2153 2.1643
Zr Tl Ru
4 1 1
direct
0.8711 0.3763 0.3763 Zr
0.3763 0.3763 0.8711 Zr
0.3763 0.8711 0.3763 Zr
0.3763 0.3763 0.3763 Zr
0.0000 0.0000 0.0000 Tl
0.7500 0.7500 0.7500 Ru
```

## Properties
**Formation enthalpy at 0 K**: 0.41 eV per atom
**Crystal system**: cubic

[16]
First-principles (PBE-GGA) data for a relaxed structure of BeRu2Rh, as listed in Alexandria.

```
BeRu2Rh
1.0
3.9207 0.0000 0.0000
0.0000 2.6960 -0.0021
0.0000 1.5814 4.8723
Ru Rh Be
2 1 1
direct
0.0000 0.1034 0.0204 Ru
0.0000 0.3966 0.4796 Ru
0.5000 0.7500 0.7500 Rh
0.5000 0.2500 0.2500 Be
```

## Properties
**Formation enthalpy at 0 K**: 0.02 eV per atom
**Crystal system**: monoclinic

[17]
First-principles (PBE-GGA) data for a relaxed structure of Y2UTl3Te6, as listed in Alexandria.

```
Y2UTl3Te6
1.0
7.7176 -0.0005 0.0003
-3.8573 6.6845 0.0003
-1.2870 -2.2284 8.2264
Y U Tl Te
2 1 3 6
direct
0.3331 0.6669 0.0000 Y
0.6669 0.3331 0.0000 Y
0.0000 0.0000 0.0000 U
0.1653 0.8347 0.5000 Tl
0.8347 0.1653 0.5000 Tl
0.5000 0.5000 0.5000 Tl
0.9282 0.5917 0.7847 Te
0.7349 0.7349 0.2145 Te
0.0718 0.4083 0.2153 Te
0.5917 0.9282 0.7847 Te
0.2651 0.2651 0.7855 Te
0.4083 0.0718 0.2153 Te
```

## Properties
**E_form (uncorrected)**: -876 meV/atom
**Crystal system**: monoclinic

[18]
First-principles (PBE-GGA) data for a relaxed structure of YMg2Ir2, as listed in Alexandria.

```
YMg2Ir2
1.0
4.0760 0.0000 0.0000
0.0000 4.0760 0.0000
2.0380 2.0380 5.9791
Y Mg Ir
1 2 2
direct
0.0000 0.0000 0.0000 Y
0.7500 0.2500 0.5000 Mg
0.2500 0.7500 0.5000 Mg
0.3957 0.3957 0.2086 Ir
0.6043 0.6043 0.7914 Ir
```

## Properties
**Formation enthalpy at 0 K**: -0.43 eV per atom
**Crystal system**: tetragonal
**E above lowest polymorph**: 0 meV per atom

[19]
First-principles (PBE-GGA) data for a relaxed structure of Li2Zn2Hg, as listed in Alexandria.

```
Li2Zn2Hg
1.0
4.5076 0.0000 0.0000
2.2538 3.6239 1.5134
2.2538 2.4279 10.9141
Li Zn Hg
4 4 2
direct
0.3491 0.2517 0.0501 Li
0.5522 0.2453 0.6503 Li
0.6509 0.7483 0.9499 Li
0.4478 0.7547 0.3497 Li
0.9542 0.2362 0.8554 Zn
0.1497 0.2502 0.4504 Zn
0.0458 0.7638 0.1446 Zn
0.8503 0.7498 0.5496 Zn
0.7448 0.2665 0.2439 Hg
0.2552 0.7335 0.7561 Hg
```

## Properties
**Formation enthalpy at 0 K**: -0.21 eV per atom
**Crystal system**: monoclinic
**E above lowest polymorph**: 3 meV per atom

[20]
First-principles (PBE-GGA) data for a relaxed structure of MgZnGa, as listed in Alexandria.

```
MgZnGa
1.0
-0.9225 -0.4898 -2.7720
-0.0233 -4.5056 0.8040
-3.7548 2.4885 0.8098
Zn Mg Ga
1 1 1
direct
0.1658 0.0000 0.0000 Zn
0.6669 0.6667 0.3333 Mg
0.1673 0.3333 0.6667 Ga
```

## Properties
**Formation enthalpy at 0 K**: -0.11 eV per atom
**Crystal system**: hexagonal